1.
This record from Alexandria describes a relaxed Rb2NaBi4Pb3 crystal. The functional is PBE.

Cell and atoms, written as POSCAR:
```
Rb2NaBi4Pb3
1.0
5.4541 0.0000 0.0000
0.0000 5.4541 0.0000
0.0000 0.0000 13.3428
Rb Na Bi Pb
2 1 4 3
Cartesian
0.0000 2.7270 3.3238
2.7270 0.0000 10.0190
2.7270 2.7270 0.0000
0.0000 0.0000 6.6714
0.0000 2.7270 11.5691
2.7270 0.0000 1.7737
2.7270 2.7270 6.6714
0.0000 0.0000 0.0000
0.0000 2.7270 8.3943
2.7270 0.0000 4.9486
```



2.
This record from Alexandria describes a relaxed NaBiRhPb crystal. The functional is PBE.

Cell and atoms, written as POSCAR:
```
NaBiRhPb
1.0
0.0000 3.5374 3.5374
3.5374 0.0000 3.5374
3.5374 3.5374 0.0000
Na Bi Rh Pb
1 1 1 1
Cartesian
0.0000 0.0000 0.0000
1.7687 1.7687 1.7687
3.5374 3.5374 3.5374
5.3061 5.3061 5.3061
```



3.
This record from Alexandria describes a relaxed NaBiRh2Pb crystal. The functional is PBE.

Cell and atoms, written as POSCAR:
```
NaBiRh2Pb
1.0
5.0842 0.0000 0.0000
0.0000 5.0842 0.0000
0.0000 0.0000 5.9188
Na Bi Rh Pb
1 1 2 1
Cartesian
0.0000 0.0000 0.0000
2.5421 2.5421 2.9594
0.0000 2.5421 2.9594
2.5421 0.0000 2.9594
2.5421 2.5421 0.0000
```



4.
This record from Alexandria describes a relaxed NaBiRhPb2 crystal. The functional is PBE.

Cell and atoms, written as POSCAR:
```
NaBiRhPb2
1.0
5.3431 0.0000 0.0000
0.0000 5.3431 0.0000
0.0000 0.0000 5.4563
Na Bi Rh Pb
1 1 1 2
Cartesian
0.0000 0.0000 0.0000
2.6715 2.6715 0.0000
2.6715 2.6715 2.7282
0.0000 2.6715 2.7282
2.6715 0.0000 2.7282
```



Asked for DFT formation energy across the records above, the calculation gives -19.4, -5.3, 73.2, 5.2 kJ/mol of atoms in order.